Crystalline TbScSO2 at its relaxed geometry, computed with PBE.

a = 6.4870 Å, b = 3.9670 Å, c = 7.4080 Å
α = 90.00°, β = 115.22°, γ = 90.00°
Fractional positions:
Tb 0.1926 0.2500 0.4449
Tb 0.8074 0.7500 0.5551
Sc 0.1583 0.2500 0.9446
Sc 0.8417 0.7500 0.0554
S 0.4843 0.7500 0.7275
S 0.5157 0.2500 0.2725
O 0.0010 0.7500 0.3614
O 0.0422 0.7500 0.9030
O 0.9578 0.2500 0.0970
O 0.9990 0.2500 0.6386

## Properties
E_form (uncorrected) ... -3.067 eV per atom
DOS at the Fermi energy ... 0.000 states/eV/atom
Size of the total moment ... 0.00 Bohr magnetons per cell
Electronic total energy ... -8.069 eV/atom